Material: Tb3Pr2Te8
Method: DFT, PBE-GGA
State: relaxed

Output
The calculation puts the total energy at -5.03 eV/atom. For the magnetic moment, the calculation gives 0.00 μB/cell. The energy relative to the elements, uncorrected is -1291 meV/atom.

Cell lengths 15.611, 8.834, 7.618 Å; angles 90.00, 108.60, 90.00 degrees
Space group C2/m (No. 12)
Symmetry-distinct sites (fractional):
Tb  0.000  0.000  0.000 (multiplicity 2)
Tb  0.000  0.257  0.500 (multiplicity 4)
Pr  0.248  0.500  0.169 (multiplicity 4)
Te  0.118  0.000  0.413 (multiplicity 4)
Te  0.118  0.247  0.911 (multiplicity 8)
Te  0.119  0.500  0.414 (multiplicity 4)